(1)
{"formula": "Ac4TlGe2", "functional": "GGA-PBE", "state": "optimized geometry", "e_tot_ev_per_cell": -63.5, "dos_at_fermi_per_ev_fu": 8.0, "delta_e_f_ev_per_atom": -0.53, "lattice_angstrom": [[-4.961, 4.961, 4.947], [4.961, -4.961, 4.947], [4.961, 4.961, -4.947]], "species": ["Ac", "Ac", "Ac", "Ac", "Ac", "Ac", "Ac", "Ac", "Tl", "Tl", "Ge", "Ge", "Ge", "Ge"], "fractional_positions": [[0.134, 0.742, 0.746], [0.138, 0.246, 0.754], [0.258, 0.004, 0.392], [0.492, 0.384, 0.246], [0.612, 0.866, 0.608], [0.616, 0.862, 0.108], [0.754, 0.508, 0.892], [0.996, 0.388, 0.254], [0.000, 0.000, 0.000], [0.750, 0.250, 0.500], [0.248, 0.625, 0.123], [0.375, 0.498, 0.623], [0.502, 0.125, 0.877], [0.875, 0.752, 0.377]]}

***

(2)
{"formula": "Ac3TlGe2", "functional": "GGA-PBE", "state": "optimized geometry", "e_tot_ev_per_cell": -26.4, "dos_at_fermi_per_ev_fu": 3.5, "delta_e_f_ev_per_atom": -0.41, "lattice_angstrom": [[2.407, -8.648, 0.000], [2.407, 8.648, 0.000], [0.000, 0.000, 4.599]], "species": ["Ac", "Ac", "Ac", "Tl", "Ge", "Ge"], "fractional_positions": [[0.000, 0.000, 0.000], [0.173, 0.827, 0.500], [0.827, 0.173, 0.500], [0.500, 0.500, 0.500], [0.350, 0.650, 0.000], [0.650, 0.350, 0.000]]}